Be2PtCl: optimized geometry, GGA-PBEsol.

abc: 2.7913 3.1430 7.8009
angles: 101.62 100.31 90.00
Last column: nearest neighbours and their distance in Å.
Sites, in units of the cell vectors:
1 Cl 0.5090 0.5090 0.0180  4 Be 2.39
2 Pt 0.3060 0.8060 0.6121  6 Be 2.25-2.36
3 Be 0.9327 0.9327 0.8654  2 Pt 2.36, 4 Cl 2.39
4 Be 0.7523 0.2523 0.5046  4 Pt 2.25

Output
calculated total energy: -4.53 eV per atom
spin magnetization: 0.00 μB/f.u.
DOS at the Fermi energy: 0.75 states/eV per cell
polymorph energy (0 for the lowest one): 201.8 meV/atom
raw formation energy: -0.287 eV per atom

=====

ReSiSb: optimized geometry, GGA-PBEsol.

abc: 4.3164 4.3164 4.3164
angles: 60.00 60.00 60.00
Last column: nearest neighbours and their distance in Å.
Sites, in units of the cell vectors:
1 Si 0.5000 0.5000 0.5000  4 Re 2.64
2 Sb 0.0000 0.0000 0.0000  4 Re 2.64
3 Re 0.7500 0.7500 0.7500  4 Si 2.64, 4 Sb 2.64

Output
calculated total energy: -7.45 eV per atom
spin magnetization: 0.00 μB/f.u.
DOS at the Fermi energy: 2.17 states/eV per cell
raw formation energy: 0.429 eV per atom

=====

Sr2HgAs: optimized geometry, GGA-PBEsol.

abc: 4.5770 4.5770 7.8124
angles: 72.97 72.97 60.00
Last column: nearest neighbours and their distance in Å.
Sites, in units of the cell vectors:
1 Sr 0.7371 0.7371 0.7888  3 As 3.06, 3 Hg 3.39
2 As 0.0000 0.0000 0.0000  6 Sr 3.06
3 Sr 0.2629 0.2629 0.2112  3 As 3.06, 3 Hg 3.39
4 Hg 0.5000 0.5000 0.5000  6 Sr 3.39

Output
calculated total energy: -3.11 eV per atom
energy of formation from the pure elements: -0.78 eV per atom
spin magnetization: 0.00 μB/f.u.
DOS at the Fermi energy: 2.06 states/eV per cell
polymorph energy (0 for the lowest one): 85.4 meV/atom

=====

KNaAg2Ir: optimized geometry, GGA-PBEsol.

abc: 4.6708 4.8073 4.8073
angles: 90.00 90.00 90.00
Last column: nearest neighbours and their distance in Å.
Sites, in units of the cell vectors:
1 K 0.5000 0.0000 0.0000  2 Na 2.34
2 Na 0.0000 0.0000 0.0000  2 K 2.34, 4 Ag 2.40
3 Ir 0.5000 0.5000 0.5000  8 Ag 3.35, 4 K 3.40
4 Ag 0.0000 0.5000 0.0000  2 Na 2.40
5 Ag 0.0000 0.0000 0.5000  2 Na 2.40

Output
calculated total energy: -2.35 eV per atom
energy of formation from the pure elements: 1.45 eV per atom
spin magnetization: 0.00 μB/f.u.
DOS at the Fermi energy: 3.18 states/eV per cell

=====

NdGe2Pd2: optimized geometry, GGA-PBEsol.

abc: 4.2713 4.2713 5.8740
angles: 111.32 111.32 90.00
Last column: nearest neighbours and their distance in Å.
Sites, in units of the cell vectors:
1 Ge 0.6218 0.6218 0.2436  1 Ge 2.45, 4 Pd 2.50
2 Nd 0.0000 0.0000 0.0000  8 Ge 3.26, 8 Pd 3.30
3 Pd 0.7500 0.2500 0.5000  4 Ge 2.50
4 Ge 0.3782 0.3782 0.7564  1 Ge 2.45, 4 Pd 2.50
5 Pd 0.2500 0.7500 0.5000  4 Ge 2.50

Output
calculated total energy: -6.27 eV per atom
energy of formation from the pure elements: -0.88 eV per atom
spin magnetization: 0.00 μB/f.u.
DOS at the Fermi energy: 2.60 states/eV per cell

=====

LaMn2ClO: optimized geometry, GGA-PBEsol.

abc: 3.9447 3.9447 5.3808
angles: 90.00 90.00 90.00
Last column: nearest neighbours and their distance in Å.
Sites, in units of the cell vectors:
1 Cl 0.5000 0.5000 0.5000  4 La 2.79
2 Mn 0.0000 0.5000 0.0000  2 O 1.97
3 O 0.0000 0.0000 0.0000  4 Mn 1.97
4 Mn 0.5000 0.0000 0.0000  2 O 1.97
5 La 0.0000 0.0000 0.5000  2 O 2.69, 4 Cl 2.79

Output
calculated total energy: -7.18 eV per atom
spin magnetization: 6.47 μB/f.u.
DOS at the Fermi energy: 4.54 states/eV per cell
raw formation energy: -0.756 eV per atom

=====

CdMoOs2: optimized geometry, GGA-PBEsol.

abc: 2.7764 3.8629 5.7925
angles: 90.00 90.00 90.00
Last column: nearest neighbours and their distance in Å.
Sites, in units of the cell vectors:
1 Mo 0.5000 0.5000 0.5000  8 Os 2.71, 2 Mo 2.78, 2 Cd 2.90
2 Os 0.0000 0.0000 0.2751  3 Os 2.61-2.78, 4 Mo 2.71, 4 Cd 2.86
3 Cd 0.5000 0.5000 0.0000  2 Cd 2.78, 8 Os 2.86, 2 Mo 2.90
4 Os 0.0000 0.0000 0.7249  3 Os 2.61-2.78, 4 Mo 2.71, 4 Cd 2.86

Output
calculated total energy: -8.92 eV per atom
energy of formation from the pure elements: 0.43 eV per atom
spin magnetization: 0.00 μB/f.u.
DOS at the Fermi energy: 4.07 states/eV per cell

=====

KIrW2: optimized geometry, GGA-PBEsol.

abc: 2.6804 5.3911 5.4312
angles: 119.76 90.00 90.00
Last column: nearest neighbours and their distance in Å.
Sites, in units of the cell vectors:
1 Ir 0.5000 0.0000 0.0000  2 Ir 2.68, 2 K 2.70
2 W 0.0000 0.0000 0.5000  4 W 2.68-2.70
3 K 0.5000 0.5000 0.0000  2 K 2.68, 2 Ir 2.70
4 W 0.0000 0.5000 0.5000  4 W 2.68-2.70

Output
calculated total energy: -8.19 eV per atom
energy of formation from the pure elements: 1.46 eV per atom
spin magnetization: 0.00 μB/f.u.
DOS at the Fermi energy: 3.69 states/eV per cell
polymorph energy (0 for the lowest one): 643.2 meV/atom

=====

Ta2NbTcAs: optimized geometry, GGA-PBEsol.

abc: 4.4212 4.6698 4.6698
angles: 90.00 90.00 90.00
Last column: nearest neighbours and their distance in Å.
Sites, in units of the cell vectors:
1 Nb 0.5000 0.5000 0.5000  8 Ta 3.22, 4 Tc 3.30
2 Ta 0.0000 0.0000 0.5000  2 As 2.33
3 Tc 0.5000 0.0000 0.0000  2 As 2.21
4 As 0.0000 0.0000 0.0000  2 Tc 2.21, 4 Ta 2.33
5 Ta 0.0000 0.5000 0.0000  2 As 2.33

Output
calculated total energy: -9.54 eV per atom
energy of formation from the pure elements: 0.92 eV per atom
spin magnetization: 0.00 μB/f.u.
DOS at the Fermi energy: 4.90 states/eV per cell

=====

CuSiAu: optimized geometry, GGA-PBEsol.

abc: 4.0419 4.0419 4.0419
angles: 60.00 60.00 60.00
Last column: nearest neighbours and their distance in Å.
Sites, in units of the cell vectors:
1 Au 0.0000 0.0000 0.0000  4 Si 2.48
2 Si 0.2500 0.2500 0.2500  4 Cu 2.48, 4 Au 2.48
3 Cu 0.5000 0.5000 0.5000  4 Si 2.48

Output
calculated total energy: -4.69 eV per atom
spin magnetization: 0.00 μB/f.u.
DOS at the Fermi energy: 1.41 states/eV per cell
polymorph energy (0 for the lowest one): 0.0 meV/atom
raw formation energy: -0.022 eV per atom

=====

MnI3N: optimized geometry, GGA-PBEsol.

abc: 5.4340 5.4340 5.4340
angles: 90.00 90.00 90.00
Last column: nearest neighbours and their distance in Å.
Sites, in units of the cell vectors:
1 N 0.5000 0.5000 0.5000  12 I 3.84
2 I 0.0000 0.0000 0.5000  2 Mn 2.72
3 I 0.0000 0.5000 0.0000  2 Mn 2.72
4 I 0.5000 0.0000 0.0000  2 Mn 2.72
5 Mn 0.0000 0.0000 0.0000  6 I 2.72

Output
calculated total energy: -3.74 eV per atom
spin magnetization: 7.39 μB/f.u.
DOS at the Fermi energy: 2.91 states/eV per cell
polymorph energy (0 for the lowest one): 0.0 meV/atom
raw formation energy: 0.981 eV per atom

=====

NaCo2Cl: optimized geometry, GGA-PBEsol.

abc: 4.2820 4.2820 4.2820
angles: 60.00 60.00 60.00
Last column: nearest neighbours and their distance in Å.
Sites, in units of the cell vectors:
1 Co 0.2500 0.2500 0.2500  4 Na 2.62, 4 Cl 2.62
2 Cl 0.5000 0.5000 0.5000  8 Co 2.62
3 Na 0.0000 0.0000 0.0000  8 Co 2.62
4 Co 0.7500 0.7500 0.7500  4 Cl 2.62, 4 Na 2.62

Output
calculated total energy: -3.70 eV per atom
spin magnetization: 3.04 μB/f.u.
DOS at the Fermi energy: 5.34 states/eV per cell
polymorph energy (0 for the lowest one): 533.6 meV/atom
raw formation energy: 1.024 eV per atom